[1]
La3MgN | PBE-GGA | relaxed

The calculation puts the total magnetization at 0.0 Bohr magnetons per cell. The uncorrected formation energy is 0.683 eV per atom. The calculation puts the energy above the most stable polymorph in this dataset at 1.305 eV/atom.

It has space group I-4m2 (No. 119), with a = 6.009 Å, b = 6.009 Å, c = 23.714 Å, α = 90.00°, β = 90.00° and γ = 90.00°. The inequivalent atoms are La at (0.000, 0.000, 0.228), La at (0.000, 0.252, 0.629), Mg at (0.000, 0.000, 0.500), Mg at (0.000, 0.500, 0.750) and N at (0.000, 0.500, 0.224).

---

[2]
LaMgN3 | PBE-GGA | relaxed

The calculation puts the total magnetization at 0.8 Bohr magnetons per cell. The uncorrected formation energy is 0.242 eV per atom.

It has space group Pm-3m (No. 221), with a = 3.994 Å, b = 3.994 Å, c = 3.994 Å, α = 90.00°, β = 90.00° and γ = 90.00°. The inequivalent atoms are La at (0.000, 0.000, 0.000), Mg at (0.500, 0.500, 0.500) and N at (0.000, 0.500, 0.500).

---

[3]
La4MgN | PBE-GGA | relaxed

The calculation puts the total magnetization at 0.0 Bohr magnetons per cell. The uncorrected formation energy is -0.452 eV per atom.

It has space group C2/c (No. 15), with a = 15.554 Å, b = 6.463 Å, c = 7.107 Å, α = 90.00°, β = 104.75° and γ = 90.00°. The inequivalent atoms are La at (0.101, 0.092, 0.467), La at (0.200, 0.424, 0.161), Mg at (0.000, 0.420, 0.750) and N at (0.250, 0.250, 0.500).

---

[4]
La8MgN5 | PBE-GGA | relaxed

The calculation puts the total magnetization at 2.0 Bohr magnetons per cell. The uncorrected formation energy is -0.959 eV per atom.

It has space group C2/m (No. 12), with a = 19.278 Å, b = 3.662 Å, c = 9.625 Å, α = 90.00°, β = 104.62° and γ = 90.00°. The inequivalent atoms are La at (0.078, 0.000, 0.151), La at (0.091, 0.500, 0.843), La at (0.169, 0.500, 0.487), La at (0.237, 0.500, 0.159), Mg at (0.000, 0.000, 0.500), N at (0.000, 0.500, 0.000), N at (0.165, 0.000, 0.987) and N at (0.206, 0.000, 0.349).

---

[5]
La3MgN | PBE-GGA | relaxed

The calculation puts the total magnetization at 0.0 Bohr magnetons per cell. The uncorrected formation energy is -0.008 eV per atom. The calculation puts the energy above the most stable polymorph in this dataset at 0.615 eV/atom.

It has space group Amm2 (No. 38), with a = 3.413 Å, b = 7.746 Å, c = 16.730 Å, α = 90.00°, β = 90.00° and γ = 90.00°. The inequivalent atoms are La at (0.000, 0.000, 0.000), La at (0.500, 0.219, 0.841), Mg at (0.500, 0.000, 0.182) and N at (0.000, 0.000, 0.843).

---

[6]
La12Mg3N5 | PBE-GGA | relaxed

The calculation puts the total magnetization at 0.0 Bohr magnetons per cell. The uncorrected formation energy is -0.589 eV per atom.

It has space group Ia-3d (No. 230), with a = 16.676 Å, b = 16.676 Å, c = 16.676 Å, α = 90.00°, β = 90.00° and γ = 90.00°. The inequivalent atoms are La at (0.042, 0.047, 0.646), Mg at (0.000, 0.250, 0.125), N at (0.000, 0.000, 0.000) and N at (0.000, 0.250, 0.375).